This record from Alexandria describes KBa4Pt2 after structural relaxation. The functional is GGA-PBE.

Cell lengths 22.527, 4.651, 7.961 Å; angles 90.00, 106.13, 90.00 degrees
Positions (direct):
K (0.000, 0.000, 0.000)
K (0.500, 0.500, 0.000)
Ba (0.170, 0.000, 0.519)
Ba (0.176, 0.500, 0.029)
Ba (0.324, 0.000, 0.971)
Ba (0.330, 0.500, 0.481)
Ba (0.670, 0.500, 0.519)
Ba (0.676, 0.000, 0.029)
Ba (0.824, 0.500, 0.971)
Ba (0.830, 0.000, 0.481)
Pt (0.248, 0.500, 0.743)
Pt (0.252, 0.000, 0.257)
Pt (0.748, 0.000, 0.743)
Pt (0.752, 0.500, 0.257)

## Properties
**Symmetry**: No. 12
**Spin magnetization**: 0.00 μB per cell
**Calculated formation energy**: -3.4 eV per formula unit
**Volume**: 801.25 Å³/cell



This record from Alexandria describes Cd2BBrCl after structural relaxation. The functional is GGA-PBE.

Cell lengths 5.415, 5.415, 6.604 Å; angles 90.00, 90.00, 90.00 degrees
Positions (direct):
Cd (0.000, 0.500, 0.000)
Cd (0.500, 0.000, 0.000)
B (0.000, 0.000, 0.500)
Br (0.500, 0.500, 0.000)
Cl (0.500, 0.500, 0.500)

## Properties
**ΔE_f (raw)**: 1.194 eV per atom
**Symmetry**: No. 123
**Spin magnetization**: 0.65 μB per cell
**Volume**: 193.67 Å³/cell



This record from Alexandria describes Sm8IrSe4S3 after structural relaxation. The functional is GGA-PBE.

Cell lengths 8.283, 8.283, 8.283 Å; angles 59.58, 59.58, 59.58 degrees
Positions (direct):
Sm (0.244, 0.244, 0.244)
Sm (0.250, 0.740, 0.740)
Sm (0.260, 0.260, 0.750)
Sm (0.260, 0.750, 0.260)
Sm (0.740, 0.250, 0.740)
Sm (0.740, 0.740, 0.250)
Sm (0.750, 0.260, 0.260)
Sm (0.756, 0.756, 0.756)
Ir (0.500, 0.500, 0.500)
Se (0.000, 0.000, 0.000)
Se (0.000, 0.500, 0.500)
Se (0.500, 0.000, 0.500)
Se (0.500, 0.500, 0.000)
S (0.000, 0.000, 0.500)
S (0.000, 0.500, 0.000)
S (0.500, 0.000, 0.000)

## Properties
**ΔE_f (raw)**: -1.771 eV per atom
**Symmetry**: No. 166
**Spin magnetization**: 0.00 μB per cell
**Volume**: 397.94 Å³/cell



This record from Alexandria describes Na2YTiO4 after structural relaxation. The functional is GGA-PBE.

Cell lengths 5.612, 3.245, 5.857 Å; angles 90.00, 108.78, 90.00 degrees
Positions (direct):
Na (0.000, 0.000, 0.000)
Na (0.500, 0.500, 0.000)
Y (0.000, 0.500, 0.500)
Ti (0.500, 0.000, 0.500)
O (0.261, 0.000, 0.711)
O (0.281, 0.500, 0.294)
O (0.719, 0.500, 0.706)
O (0.739, 0.000, 0.289)

## Properties
**ΔE_f (raw)**: -2.534 eV per atom
**Symmetry**: No. 10
**Spin magnetization**: 1.01 μB per cell
**Volume**: 100.98 Å³/cell



Among the records above, which one has the highest volume? KBa4Pt2



Which of these has the lowest volume? Na2YTiO4



Look up the volume of the first one. 801.25 Å³/cell